No. 1
! RbNa3Sn, relaxed, DFT PBE; values from VASP
! Excess energy over the best structure of this formula in the dataset (meV per atom): 23
! DFT total energy (eV per atom): -1.854
! Symmetry: C2/c (15)
&SYSTEM
  ibrav = 0, nat = 20, ntyp = 3
/
ATOMIC_SPECIES
Rb 85.47 Rb.upf
Na 22.99 Na.upf
Sn 118.71 Sn.upf
ATOMIC_POSITIONS angstrom
Rb -6.448 -7.265 4.513
Rb 4.695 -7.620 9.121
Rb 0.931 -7.759 4.923
Rb -2.684 -7.126 8.710
Na 0.704 -12.295 9.447
Na 1.421 -2.459 8.391
Na -2.458 -2.590 4.187
Na -3.174 -12.426 5.243
Na -2.685 -1.939 8.193
Na -3.431 -12.264 9.186
Na 0.931 -12.946 5.441
Na 1.677 -2.621 4.448
Na -1.113 -10.287 7.089
Na -0.507 -4.998 2.565
Na -0.641 -4.598 6.545
Na -1.246 -9.887 11.069
Sn 1.045 -8.832 9.012
Sn 1.248 -5.933 8.834
Sn -2.798 -6.053 4.621
Sn -3.002 -8.952 4.799
CELL_PARAMETERS angstrom
-0.388 0.807 7.954
-6.831 -7.435 2.498
5.465 -8.257 3.182

---

No. 2
! MgTlZn2, relaxed, DFT PBE; values from VASP
! Excess energy over the best structure of this formula in the dataset (meV per atom): 0
! DFT total energy (eV per atom): -1.574
! Symmetry: Pm (6)
&SYSTEM
  ibrav = 0, nat = 4, ntyp = 3
/
ATOMIC_SPECIES
Mg 24.30 Mg.upf
Tl 204.38 Tl.upf
Zn 65.41 Zn.upf
ATOMIC_POSITIONS angstrom
Mg 0.000 2.403 2.449
Tl 2.163 4.141 4.336
Zn 0.000 0.653 0.024
Zn 2.163 0.657 1.442
CELL_PARAMETERS angstrom
4.327 0.000 0.000
0.000 3.503 0.007
0.000 1.732 5.494

---

No. 3
! CaNdTl, relaxed, DFT PBE; values from VASP
! Excess energy over the best structure of this formula in the dataset (meV per atom): 190
! DFT total energy (eV per atom): -3.225
! Symmetry: F-43m (216)
&SYSTEM
  ibrav = 0, nat = 3, ntyp = 3
/
ATOMIC_SPECIES
Tl 204.38 Tl.upf
Nd 144.24 Nd.upf
Ca 40.08 Ca.upf
ATOMIC_POSITIONS angstrom
Tl -0.065 -3.224 0.595
Nd 0.000 0.000 0.000
Ca -0.129 -6.448 1.190
CELL_PARAMETERS angstrom
-2.829 -4.504 -0.617
2.519 -4.651 -0.834
0.052 -3.741 3.831

---

No. 4
! TmUZn, relaxed, DFT PBE; values from VASP
! DFT total energy (eV per atom): -5.595
! Symmetry: Cmcm (63)
&SYSTEM
  ibrav = 0, nat = 6, ntyp = 3
/
ATOMIC_SPECIES
Tm 168.93 Tm.upf
U 238.03 U.upf
Zn 65.41 Zn.upf
ATOMIC_POSITIONS angstrom
Tm 4.840 -4.669 -1.702
Tm 0.020 -5.270 -0.398
U -0.475 -1.898 -0.442
U 5.335 -8.041 -1.658
Zn 2.578 -6.604 -1.004
Zn 2.282 -3.335 -1.095
CELL_PARAMETERS angstrom
-1.009 -3.346 3.102
-1.378 -1.637 -2.213
7.247 -4.956 -2.988

---

no.,calculated formation energy (eV per atom)
1,-0.0688
2,0.0535
3,-0.1800
4,0.0827